Compound: GaNiIrO6
Source: Alexandria
Functional: GGA+U
Structure: relaxed

a = 5.0807 Å, b = 5.0807 Å, c = 8.6562 Å
α = 90.00°, β = 90.00°, γ = 120.00°
Space group P-31c (No. 163)
Symmetry-distinct sites (fractional):
1 Ga 0.3333 0.6667 0.2500 (multiplicity 2)
2 Ni 0.0000 0.0000 0.0000 (multiplicity 2)
3 Ir 0.3333 0.6667 0.7500 (multiplicity 2)
4 O 0.0090 0.3542 0.6290 (multiplicity 12)

Output
VASP energy   -5.8289 eV/atom
Magnetization   0.16 μB per atom